A plane-wave DFT calculation with PBE was carried out for crystalline PaSnGe2 at its relaxed geometry.

- Distance to the lowest polymorph of the same formula: 0 meV per atom
- N(E_F): 0.90 states/eV per atom
- Total magnetic moment: 0.0 μB per formula unit
- ΔE_f: -0.39 eV per atom

abc: 4.5474 4.5474 4.1281
angles: 90.00 90.00 90.00
Positions (direct):
1 Pa 0.0000 0.0000 0.0000
2 Sn 0.5000 0.5000 0.0000
3 Ge 0.0000 0.5000 0.5000
4 Ge 0.5000 0.0000 0.5000